(1)
A geometry-optimized ReIr2 structure, computed with PBE-GGA.

a = 5.079 Å, b = 5.079 Å, c = 5.079 Å
α = 60.00°, β = 60.00°, γ = 60.00°
Sites, in units of the cell vectors:
Re  0.125  0.125  0.125
Re  0.875  0.875  0.875
Ir  0.000  0.500  0.500
Ir  0.500  0.000  0.500
Ir  0.500  0.500  0.000
Ir  0.500  0.500  0.500

Calculated values
- Crystal system: cubic
- Energy of formation: 54.5 kJ per mole of atoms
- Uncorrected energy: -9.492 eV per atom
- Polymorph energy (0 for the lowest one): 2.39 eV per formula unit

(2)
A geometry-optimized ReIr structure, computed with PBE-GGA.

a = 2.773 Å, b = 2.773 Å, c = 4.394 Å
α = 90.00°, β = 90.00°, γ = 120.00°
Sites, in units of the cell vectors:
Re  0.000  0.000  0.000
Ir  0.667  0.333  0.500

Calculated values
- Crystal system: hexagonal
- Energy of formation: -18.8 kJ per mole of atoms
- Uncorrected energy: -10.849 eV per atom
- Polymorph energy (0 for the lowest one): 0.16 eV per formula unit

(3)
A geometry-optimized ReIr4 structure, computed with PBE-GGA.

a = 5.712 Å, b = 5.712 Å, c = 4.802 Å
α = 90.00°, β = 90.00°, γ = 90.00°
Sites, in units of the cell vectors:
Re  0.000  0.000  0.250
Re  0.000  0.000  0.750
Ir  0.196  0.364  0.000
Ir  0.196  0.636  0.500
Ir  0.364  0.196  0.500
Ir  0.364  0.804  0.000
Ir  0.636  0.196  0.000
Ir  0.636  0.804  0.500
Ir  0.804  0.364  0.500
Ir  0.804  0.636  0.000

Calculated values
- Crystal system: tetragonal
- Energy of formation: 39.6 kJ per mole of atoms
- Uncorrected energy: -9.168 eV per atom
- Polymorph energy (0 for the lowest one): 2.53 eV per formula unit

(4)
A geometry-optimized ReIr2 structure, computed with PBE-GGA.

a = 9.116 Å, b = 9.116 Å, c = 9.116 Å
α = 162.95°, β = 154.12°, γ = 31.16°
Sites, in units of the cell vectors:
Re  0.354  0.104  0.250
Re  0.646  0.896  0.750
Ir  0.061  0.311  0.750
Ir  0.208  0.458  0.750
Ir  0.792  0.542  0.250
Ir  0.939  0.689  0.250

Calculated values
- Crystal system: orthorhombic
- Energy of formation: 18.2 kJ per mole of atoms
- Uncorrected energy: -9.868 eV per atom
- Polymorph energy (0 for the lowest one): 1.26 eV per formula unit

(5)
A geometry-optimized ReIr2 structure, computed with PBE-GGA.

a = 4.360 Å, b = 4.360 Å, c = 2.802 Å
α = 90.00°, β = 90.00°, γ = 90.00°
Sites, in units of the cell vectors:
Re  0.000  0.000  0.000
Ir  0.000  0.500  0.500
Ir  0.500  0.000  0.500

Calculated values
- Crystal system: tetragonal
- Energy of formation: 69.4 kJ per mole of atoms
- Uncorrected energy: -9.337 eV per atom
- Polymorph energy (0 for the lowest one): 2.85 eV per formula unit

(6)
A geometry-optimized Re5Ir4 structure, computed with PBE-GGA.

a = 7.557 Å, b = 7.557 Å, c = 5.463 Å
α = 90.00°, β = 90.00°, γ = 120.00°
Sites, in units of the cell vectors:
Re  0.000  0.335  0.250
Re  0.000  0.665  0.750
Re  0.333  0.667  0.000
Re  0.333  0.667  0.500
Re  0.335  0.000  0.250
Re  0.335  0.335  0.750
Re  0.665  0.000  0.750
Re  0.665  0.665  0.250
Re  0.667  0.333  0.000
Re  0.667  0.333  0.500
Ir  0.000  0.000  0.000
Ir  0.000  0.000  0.500
Ir  0.000  0.334  0.750
Ir  0.000  0.666  0.250
Ir  0.334  0.000  0.750
Ir  0.334  0.334  0.250
Ir  0.666  0.000  0.250
Ir  0.666  0.666  0.750

Calculated values
- Crystal system: hexagonal
- Energy of formation: 5.0 kJ per mole of atoms
- Uncorrected energy: -10.802 eV per atom
- Polymorph energy (0 for the lowest one): 1.57 eV per formula unit

(7)
A geometry-optimized ReIr structure, computed with PBE-GGA.

a = 2.728 Å, b = 2.728 Å, c = 3.937 Å
α = 90.00°, β = 90.00°, γ = 90.00°
Sites, in units of the cell vectors:
Re  0.000  0.000  0.000
Ir  0.500  0.500  0.500

Calculated values
- Crystal system: tetragonal
- Energy of formation: -14.0 kJ per mole of atoms
- Uncorrected energy: -10.800 eV per atom
- Polymorph energy (0 for the lowest one): 0.26 eV per formula unit

(8)
A geometry-optimized ReIr4 structure, computed with PBE-GGA.

a = 4.662 Å, b = 4.662 Å, c = 4.662 Å
α = 90.00°, β = 90.00°, γ = 90.00°
Sites, in units of the cell vectors:
Re  0.000  0.000  0.000
Ir  0.000  0.000  0.500
Ir  0.000  0.500  0.000
Ir  0.500  0.000  0.000
Ir  0.500  0.500  0.500

Calculated values
- Crystal system: cubic
- Energy of formation: 206.5 kJ per mole of atoms
- Uncorrected energy: -7.438 eV per atom
- Polymorph energy (0 for the lowest one): 11.19 eV per formula unit

(9)
A geometry-optimized ReIr structure, computed with PBE-GGA.

a = 7.576 Å, b = 7.576 Å, c = 7.576 Å
α = 93.66°, β = 93.66°, γ = 150.72°
Sites, in units of the cell vectors:
Re  0.135  0.279  0.415
Re  0.279  0.865  0.144
Re  0.721  0.135  0.856
Re  0.865  0.721  0.585
Ir  0.099  0.710  0.809
Ir  0.290  0.099  0.390
Ir  0.710  0.901  0.610
Ir  0.901  0.290  0.191

Calculated values
- Crystal system: tetragonal
- Energy of formation: 121.2 kJ per mole of atoms
- Uncorrected energy: -9.398 eV per atom
- Polymorph energy (0 for the lowest one): 3.06 eV per formula unit

(10)
A geometry-optimized ReIr4 structure, computed with PBE-GGA.

a = 4.751 Å, b = 4.751 Å, c = 4.751 Å
α = 99.56°, β = 99.56°, γ = 131.91°
Sites, in units of the cell vectors:
Re  0.000  0.000  0.000
Ir  0.204  0.395  0.600
Ir  0.395  0.796  0.191
Ir  0.605  0.204  0.809
Ir  0.796  0.605  0.400

Calculated values
- Crystal system: tetragonal
- Energy of formation: -9.3 kJ per mole of atoms
- Uncorrected energy: -9.675 eV per atom
- Polymorph energy (0 for the lowest one): 0.00 eV per formula unit

(11)
A geometry-optimized ReIr2 structure, computed with PBE-GGA.

a = 4.756 Å, b = 4.756 Å, c = 4.756 Å
α = 146.60°, β = 131.73°, γ = 59.97°
Sites, in units of the cell vectors:
Re  0.000  0.000  0.000
Ir  0.336  0.336  0.000
Ir  0.664  0.664  0.000

Calculated values
- Crystal system: orthorhombic
- Energy of formation: -14.9 kJ per mole of atoms
- Uncorrected energy: -10.211 eV per atom
- Polymorph energy (0 for the lowest one): 0.23 eV per formula unit

(12)
A geometry-optimized ReIr structure, computed with PBE-GGA.

a = 8.058 Å, b = 8.058 Å, c = 2.639 Å
α = 90.00°, β = 90.00°, γ = 90.00°
Sites, in units of the cell vectors:
Re  0.133  0.133  0.000
Re  0.367  0.633  0.500
Re  0.633  0.367  0.500
Re  0.867  0.867  0.000
Ir  0.170  0.830  0.000
Ir  0.330  0.330  0.500
Ir  0.670  0.670  0.500
Ir  0.830  0.170  0.000

Calculated values
- Crystal system: tetragonal
- Energy of formation: 76.6 kJ per mole of atoms
- Uncorrected energy: -9.861 eV per atom
- Polymorph energy (0 for the lowest one): 2.14 eV per formula unit

(13)
A geometry-optimized ReIr structure, computed with PBE-GGA.

a = 4.957 Å, b = 4.957 Å, c = 4.957 Å
α = 90.00°, β = 90.00°, γ = 90.00°
Sites, in units of the cell vectors:
Re  0.101  0.101  0.101
Re  0.399  0.899  0.601
Re  0.601  0.399  0.899
Re  0.899  0.601  0.399
Ir  0.099  0.599  0.901
Ir  0.401  0.401  0.401
Ir  0.599  0.901  0.099
Ir  0.901  0.099  0.599

Calculated values
- Crystal system: cubic
- Energy of formation: 19.2 kJ per mole of atoms
- Uncorrected energy: -10.456 eV per atom
- Polymorph energy (0 for the lowest one): 0.95 eV per formula unit

(14)
A geometry-optimized ReIr2 structure, computed with PBE-GGA.

a = 4.729 Å, b = 4.729 Å, c = 4.729 Å
α = 138.96°, β = 138.96°, γ = 59.43°
Sites, in units of the cell vectors:
Re  0.000  0.000  0.000
Ir  0.335  0.335  0.000
Ir  0.665  0.665  0.000

Calculated values
- Crystal system: tetragonal
- Energy of formation: 26.7 kJ per mole of atoms
- Uncorrected energy: -9.780 eV per atom
- Polymorph energy (0 for the lowest one): 1.52 eV per formula unit

(15)
A geometry-optimized Re5Ir3 structure, computed with PBE-GGA.

a = 5.487 Å, b = 5.487 Å, c = 3.914 Å
α = 90.00°, β = 90.00°, γ = 90.68°
Sites, in units of the cell vectors:
Re  0.000  0.000  0.000
Re  0.000  0.500  0.000
Re  0.249  0.751  0.500
Re  0.500  0.000  0.000
Re  0.751  0.249  0.500
Ir  0.252  0.252  0.500
Ir  0.500  0.500  0.000
Ir  0.748  0.748  0.500

Calculated values
- Crystal system: orthorhombic
- Energy of formation: -10.7 kJ per mole of atoms
- Uncorrected energy: -11.213 eV per atom
- Polymorph energy (0 for the lowest one): 0.62 eV per formula unit

(16)
A geometry-optimized ReIr2 structure, computed with PBE-GGA.

a = 4.706 Å, b = 6.098 Å, c = 3.921 Å
α = 90.00°, β = 90.00°, γ = 90.00°
Sites, in units of the cell vectors:
Re  0.000  0.000  0.000
Re  0.500  0.500  0.500
Ir  0.207  0.380  0.000
Ir  0.293  0.880  0.500
Ir  0.707  0.120  0.500
Ir  0.793  0.620  0.000

Calculated values
- Crystal system: orthorhombic
- Energy of formation: 82.7 kJ per mole of atoms
- Uncorrected energy: -9.199 eV per atom
- Polymorph energy (0 for the lowest one): 3.27 eV per formula unit

(17)
A geometry-optimized Re5Ir4 structure, computed with PBE-GGA.

a = 6.160 Å, b = 6.160 Å, c = 6.160 Å
α = 95.69°, β = 95.69°, γ = 143.29°
Sites, in units of the cell vectors:
Re  0.000  0.000  0.000
Re  0.332  0.332  0.664
Re  0.332  0.668  0.000
Re  0.668  0.332  0.000
Re  0.668  0.668  0.336
Ir  0.000  0.326  0.326
Ir  0.000  0.674  0.674
Ir  0.326  0.000  0.326
Ir  0.674  0.000  0.674

Calculated values
- Crystal system: tetragonal
- Energy of formation: -11.8 kJ per mole of atoms
- Uncorrected energy: -10.976 eV per atom
- Polymorph energy (0 for the lowest one): 0.00 eV per formula unit

(18)
A geometry-optimized Re3Ir2 structure, computed with PBE-GGA.

a = 7.086 Å, b = 5.282 Å, c = 8.169 Å
α = 59.02°, β = 39.72°, γ = 81.25°
Sites, in units of the cell vectors:
Re  0.000  0.000  0.000
Re  0.250  0.250  0.250
Re  0.399  0.510  0.397
Re  0.510  0.399  0.694
Re  0.556  0.853  0.740
Re  0.853  0.556  0.851
Ir  0.110  0.771  0.300
Ir  0.431  0.950  0.479
Ir  0.771  0.110  0.819
Ir  0.950  0.431  0.140

Calculated values
- Crystal system: orthorhombic
- Energy of formation: -0.7 kJ per mole of atoms
- Uncorrected energy: -11.021 eV per atom
- Polymorph energy (0 for the lowest one): 0.39 eV per formula unit

(19)
A geometry-optimized Re4Ir3 structure, computed with PBE-GGA.

a = 9.956 Å, b = 9.956 Å, c = 9.956 Å
α = 160.89°, β = 160.89°, γ = 27.15°
Sites, in units of the cell vectors:
Re  0.070  0.070  0.000
Re  0.356  0.356  0.000
Re  0.644  0.644  0.000
Re  0.930  0.930  0.000
Ir  0.215  0.215  0.000
Ir  0.500  0.500  0.000
Ir  0.785  0.785  0.000

Calculated values
- Crystal system: tetragonal
- Energy of formation: 29.1 kJ per mole of atoms
- Uncorrected energy: -10.609 eV per atom
- Polymorph energy (0 for the lowest one): 0.04 eV per formula unit

(20)
A geometry-optimized ReIr structure, computed with PBE-GGA.

a = 3.960 Å, b = 3.960 Å, c = 5.123 Å
α = 90.00°, β = 90.00°, γ = 120.00°
Sites, in units of the cell vectors:
Re  0.000  0.000  0.000
Re  0.000  0.000  0.500
Ir  0.333  0.667  0.250
Ir  0.667  0.333  0.750

Calculated values
- Crystal system: hexagonal
- Energy of formation: 66.4 kJ per mole of atoms
- Uncorrected energy: -9.966 eV per atom
- Polymorph energy (0 for the lowest one): 1.93 eV per formula unit

(21)
A geometry-optimized ReIr structure, computed with PBE-GGA.

a = 4.657 Å, b = 4.657 Å, c = 4.657 Å
α = 55.30°, β = 55.30°, γ = 55.30°
Sites, in units of the cell vectors:
Re  0.109  0.109  0.109
Re  0.891  0.891  0.891
Ir  0.334  0.334  0.334
Ir  0.666  0.666  0.666

Calculated values
- Crystal system: trigonal
- Energy of formation: 43.5 kJ per mole of atoms
- Uncorrected energy: -10.204 eV per atom
- Polymorph energy (0 for the lowest one): 1.45 eV per formula unit

(22)
A geometry-optimized Re5Ir3 structure, computed with PBE-GGA.

a = 7.713 Å, b = 7.713 Å, c = 4.812 Å
α = 90.00°, β = 90.00°, γ = 120.00°
Sites, in units of the cell vectors:
Re  0.000  0.199  0.250
Re  0.000  0.801  0.750
Re  0.199  0.000  0.250
Re  0.199  0.199  0.750
Re  0.333  0.667  0.000
Re  0.333  0.667  0.500
Re  0.667  0.333  0.000
Re  0.667  0.333  0.500
Re  0.801  0.000  0.750
Re  0.801  0.801  0.250
Ir  0.000  0.407  0.750
Ir  0.000  0.593  0.250
Ir  0.407  0.000  0.750
Ir  0.407  0.407  0.250
Ir  0.593  0.000  0.250
Ir  0.593  0.593  0.750

Calculated values
- Crystal system: hexagonal
- Energy of formation: 20.6 kJ per mole of atoms
- Uncorrected energy: -10.890 eV per atom
- Polymorph energy (0 for the lowest one): 3.21 eV per formula unit

(23)
A geometry-optimized Re4Ir3 structure, computed with PBE-GGA.

a = 5.054 Å, b = 5.054 Å, c = 4.823 Å
α = 90.00°, β = 90.00°, γ = 120.00°
Sites, in units of the cell vectors:
Re  0.000  0.000  0.242
Re  0.000  0.000  0.758
Re  0.333  0.667  0.000
Re  0.667  0.333  0.000
Ir  0.000  0.500  0.500
Ir  0.500  0.000  0.500
Ir  0.500  0.500  0.500

Calculated values
- Crystal system: hexagonal
- Energy of formation: 28.6 kJ per mole of atoms
- Uncorrected energy: -10.614 eV per atom
- Polymorph energy (0 for the lowest one): 0.00 eV per formula unit

(24)
A geometry-optimized ReIr2 structure, computed with PBE-GGA.

a = 4.786 Å, b = 4.786 Å, c = 4.394 Å
α = 90.00°, β = 90.00°, γ = 60.24°
Sites, in units of the cell vectors:
Re  0.169  0.831  0.750
Re  0.831  0.169  0.250
Ir  0.166  0.500  0.250
Ir  0.500  0.166  0.750
Ir  0.500  0.834  0.250
Ir  0.834  0.500  0.750

Calculated values
- Crystal system: orthorhombic
- Energy of formation: -21.1 kJ per mole of atoms
- Uncorrected energy: -10.276 eV per atom
- Polymorph energy (0 for the lowest one): 0.04 eV per formula unit

(25)
A geometry-optimized ReIr structure, computed with PBE-GGA.

a = 4.291 Å, b = 4.291 Å, c = 8.025 Å
α = 90.00°, β = 90.00°, γ = 120.00°
Sites, in units of the cell vectors:
Re  0.333  0.667  0.088
Re  0.333  0.667  0.412
Re  0.667  0.333  0.588
Re  0.667  0.333  0.912
Ir  0.000  0.000  0.250
Ir  0.000  0.000  0.750
Ir  0.333  0.667  0.750
Ir  0.667  0.333  0.250

Calculated values
- Crystal system: hexagonal
- Energy of formation: 46.4 kJ per mole of atoms
- Uncorrected energy: -10.173 eV per atom
- Polymorph energy (0 for the lowest one): 1.52 eV per formula unit